No. 1
This record from Alexandria describes a relaxed GdCo2B2C crystal. The functional is GGA-PBEsol.

Cell: 3.521 3.521 10.186 Å, 90.00 90.00 90.00°
Element x y z (fractional)
Gd1 0.000 0.000 0.000
Gd2 0.500 0.500 0.500
Co1 0.000 0.500 0.250
Co2 0.000 0.500 0.750
Co3 0.500 0.000 0.250
Co4 0.500 0.000 0.750
B1 0.000 0.000 0.352
B2 0.000 0.000 0.648
B3 0.500 0.500 0.148
B4 0.500 0.500 0.852
C1 0.000 0.000 0.500
C2 0.500 0.500 0.000

Computed properties:
The uncorrected energy comes out at -9.414 eV per atom. For the spin magnetization, the calculation gives 13.4 μB per cell. The crystal system is tetragonal.

No. 2
This record from Alexandria describes a relaxed CoBCO2 crystal. The functional is GGA-PBEsol.

Cell: 2.835 2.835 6.749 Å, 90.00 90.00 90.00°
Element x y z (fractional)
Co1 0.000 0.000 0.000
B1 0.500 0.500 0.000
C1 0.000 0.000 0.500
O1 0.000 0.500 0.500
O2 0.500 0.000 0.500

Computed properties:
The value obtained for the formation energy without anion corrections is 1075 meV/atom. For the spin magnetization, the calculation gives 0.0 μB per cell. The crystal system is tetragonal.

No. 3
This record from Alexandria describes a relaxed PrCo2B2C crystal. The functional is GGA-PBEsol.

Cell: 3.637 3.637 10.007 Å, 90.00 90.00 90.00°
Element x y z (fractional)
Pr1 0.000 0.000 0.000
Pr2 0.500 0.500 0.500
Co1 0.000 0.500 0.250
Co2 0.000 0.500 0.750
Co3 0.500 0.000 0.250
Co4 0.500 0.000 0.750
B1 0.000 0.000 0.349
B2 0.000 0.000 0.651
B3 0.500 0.500 0.151
B4 0.500 0.500 0.849
C1 0.000 0.000 0.500
C2 0.500 0.500 0.000

Computed properties:
The uncorrected energy comes out at -7.772 eV per atom. For the spin magnetization, the calculation gives 0.0 μB per cell. The crystal system is tetragonal.